VASP calculation (GGA-PBE) on a relaxed HoPuZn4 crystal.

Cell lengths 4.073, 4.073, 15.391 Å; angles 90.00, 90.00, 90.00 degrees
Space group I-4m2 (No. 119)
Unique sites:
Ho  0.000  0.000  0.000
Pu  0.000  0.500  0.750
Zn  0.000  0.000  0.420
Zn  0.000  0.500  0.168

Values from the calculation:
- polymorph energy (0 for the lowest one) (meV per atom) = 78
- uncorrected energy (eV per cell) = -49.74

VASP calculation (GGA-PBE) on a relaxed Rb4Ho crystal.

Cell lengths 7.747, 7.747, 7.747 Å; angles 90.00, 90.00, 90.00 degrees
Space group Pm-3m (No. 221)
Unique sites:
Rb  0.000  0.000  0.000
Rb  0.000  0.500  0.500
Ho  0.500  0.500  0.500

Values from the calculation:
- uncorrected energy (eV per cell) = -4.94

| no. | formation enthalpy at 0 K (eV/atom) |
| --- | --- |
| 1 | -0.144 |
| 2 | 0.703 |